MgCo2Br | PBE | optimized geometry

The calculation puts the volume at 64.9 Å³ per cell.

The structure in extended XYZ format:
```
4
Lattice="-2.662 0.479 -4.003 -1.625 -3.298 3.133 -1.693 2.147 1.382" Properties=species:S:1:pos:R:3 pbc="T T T"
Br -1.659 -0.576 2.258
Co 0.000 0.000 0.000
Co -2.144 -1.410 -0.435
Mg -2.177 1.313 -1.310
```



MgCoBr2 | PBE | optimized geometry

The calculation puts the volume at 78.9 Å³ per cell.

The structure in extended XYZ format:
```
4
Lattice="-3.310 2.440 2.504 -3.301 2.639 -2.306 -4.600 -1.421 -0.067" Properties=species:S:1:pos:R:3 pbc="T T T"
Mg 0.000 0.000 0.000
Co -5.605 1.829 0.065
Br -2.803 0.914 0.033
Br -8.408 2.743 0.098
```



MgCoBr2 | PBE | optimized geometry

The calculation puts the volume at 88.9 Å³ per cell.

The structure in extended XYZ format:
```
4
Lattice="5.010 0.000 0.000 2.505 4.339 0.000 2.505 1.446 4.091" Properties=species:S:1:pos:R:3 pbc="T T T"
Br 0.000 0.000 0.000
Br 2.505 1.446 1.023
Co 5.010 2.892 2.045
Mg 7.515 4.339 3.068
```



MgCoBr2 | PBE | optimized geometry

The calculation puts the volume at 95.3 Å³ per cell.

The structure in extended XYZ format:
```
4
Lattice="3.774 0.000 0.000 0.000 4.987 -0.052 0.000 0.382 5.062" Properties=species:S:1:pos:R:3 pbc="T T T"
Br 0.000 0.152 0.134
Br 0.000 2.532 2.371
Co 1.887 1.342 1.253
Mg 1.887 4.026 3.758
```



In order of appearance, DFT total energy = -3.75; -2.88; -2.55; -3.04 eV per atom.
In order of appearance, E_form (uncorrected) = 617; 127; 458; -29 meV per atom.
In order of appearance, energy above the most stable polymorph in this dataset = 0.556; 0.489; 0.820; 0.333 eV/atom.